CeTmMgGa after structural relaxation, computed with GGA-PBE.

electronic total energy: -4.0162 eV per atom
energy of formation: -0.2595 eV per atom
SG: F-43m

Geometry as POSCAR:
```
CeTmMgGa
1.0
0.000 3.660 3.660
3.660 0.000 3.660
3.660 3.660 0.000
Ce Tm Mg Ga
1 1 1 1
Direct
0.000 0.000 0.000
0.500 0.500 0.500
0.250 0.250 0.250
0.750 0.750 0.750
```

---

CsBeZnH2 after structural relaxation, computed with GGA-PBE.

electronic total energy: -2.4471 eV per atom
excess energy over the best structure of this formula in the dataset: 1 meV/atom
SG: Pm

Geometry as POSCAR:
```
CsBeZnH2
1.0
3.881 0.000 0.000
0.000 6.103 0.000
-1.938 0.000 3.936
Cs Be Zn H
1 1 1 2
Direct
0.000 0.000 0.000
0.231 0.500 0.465
0.547 0.500 0.093
0.349 0.312 0.699
0.349 0.688 0.699
```

---

Cs5La2I12 after structural relaxation, computed with GGA-PBE.

electronic total energy: -3.1380 eV per atom
SG: C2/m

Geometry as POSCAR:
```
Cs5La2I12
1.0
10.667 -4.644 0.000
10.667 4.644 0.000
-4.055 0.000 11.843
Cs La I
5 2 12
Direct
0.000 0.000 0.000
0.290 0.290 0.141
0.309 0.309 0.660
0.691 0.691 0.340
0.710 0.710 0.859
0.250 0.750 0.500
0.750 0.250 0.500
0.004 0.004 0.679
0.102 0.589 0.425
0.138 0.575 0.934
0.411 0.898 0.575
0.425 0.862 0.066
0.495 0.495 0.318
0.505 0.505 0.682
0.575 0.138 0.934
0.589 0.102 0.425
0.862 0.425 0.066
0.898 0.411 0.575
0.996 0.996 0.321
```

---

BeAs2PtSe after structural relaxation, computed with GGA-PBE.

electronic total energy: -3.5463 eV per atom
excess energy over the best structure of this formula in the dataset: 408 meV/atom
SG: P4/mmm

Geometry as POSCAR:
```
BeAs2PtSe
1.0
4.798 0.000 0.000
0.000 4.798 0.000
0.000 0.000 5.276
Be As Pt Se
1 2 1 1
Direct
0.000 0.000 0.000
0.000 0.500 0.500
0.500 0.000 0.500
0.500 0.500 0.500
0.500 0.500 0.000
```

---

MnNb2PbAu after structural relaxation, computed with GGA-PBE.

electronic total energy: -6.5284 eV per atom
energy of formation: 0.7305 eV per atom
SG: P4/mmm

Geometry as POSCAR:
```
MnNb2PbAu
1.0
4.615 0.000 0.000
0.000 4.615 0.000
0.000 0.000 4.924
Mn Nb Pb Au
1 2 1 1
Direct
0.000 0.000 0.000
0.000 0.500 0.000
0.500 0.000 0.000
0.000 0.000 0.500
0.500 0.500 0.500
```

---

LiCa3C after structural relaxation, computed with GGA-PBE.

electronic total energy: -3.2498 eV per atom
energy of formation: 0.1787 eV per atom
excess energy over the best structure of this formula in the dataset: 146 meV/atom
SG: Pm-3m

Geometry as POSCAR:
```
LiCa3C
1.0
5.164 0.000 0.000
0.000 5.164 0.000
0.000 0.000 5.164
Li Ca C
1 3 1
Direct
0.000 0.000 0.000
0.000 0.500 0.500
0.500 0.000 0.500
0.500 0.500 0.000
0.500 0.500 0.500
```

---

Pm3PbI3 after structural relaxation, computed with GGA-PBE.

electronic total energy: -4.2565 eV per atom
SG: I4_132

Geometry as POSCAR:
```
Pm3PbI3
1.0
-6.361 6.361 6.361
6.361 -6.361 6.361
6.361 6.361 -6.361
Pm Pb I
12 4 12
Direct
0.008 0.017 0.258
0.008 0.492 0.750
0.017 0.258 0.008
0.242 0.258 0.750
0.242 0.483 0.492
0.258 0.008 0.017
0.258 0.750 0.242
0.483 0.492 0.242
0.492 0.242 0.483
0.492 0.750 0.008
0.750 0.008 0.492
0.750 0.242 0.258
0.000 0.250 0.500
0.250 0.250 0.250
0.250 0.500 0.000
0.500 0.000 0.250
0.250 0.755 0.745
0.250 0.995 0.505
0.505 0.250 0.995
0.505 0.755 0.511
0.511 0.505 0.755
0.745 0.250 0.755
0.745 0.995 0.989
0.755 0.511 0.505
0.755 0.745 0.250
0.989 0.745 0.995
0.995 0.505 0.250
0.995 0.989 0.745
```

---

Among the records above, which one has the highest electronic total energy?
CsBeZnH2

---

Number 6 is which compound?
LiCa3C

---

Which of these has the highest electronic total energy?
CsBeZnH2